Arrangement 1

InGaBi, optimized geometry, DFT GGA-PBE; crystal system = monoclinic
1.0
-2.443 -3.825 1.400
4.085 -2.113 1.355
-5.476 5.326 4.995
Ga In Bi
2 2 2
Cartesian
-2.268 -0.448 3.240
2.504 -0.775 2.619
0.329 0.994 3.665
-0.097 -2.222 2.193
-1.329 2.873 5.908
-3.917 1.226 4.947


Arrangement 2

InGaBi, optimized geometry, DFT GGA-PBE; crystal system = trigonal
1.0
-1.583 2.571 -1.577
-3.671 0.051 3.769
4.320 2.963 0.495
Ga Bi In
1 1 1
Cartesian
1.109 2.880 1.042
-2.021 2.668 1.668
-0.023 0.038 -0.023


Stability ranking, top and bottom: arrangement 1 is the most stable and arrangement 2 is the least stable.


Arrangement 1

InGaBi, optimized geometry, DFT GGA-PBE; crystal system = triclinic
1.0
-1.236 1.495 2.652
3.372 -3.695 3.471
5.549 6.231 -2.704
In Bi Ga
2 2 2
Cartesian
1.970 2.148 -0.410
7.318 4.336 1.024
5.028 1.889 1.185
4.254 4.599 -0.556
3.132 -0.336 1.489
0.605 0.587 1.826


Arrangement 2

InGaBi, optimized geometry, DFT GGA-PBE; crystal system = triclinic
1.0
-3.522 2.718 0.967
-2.364 -1.796 -3.601
-1.738 -6.510 4.464
Ga In Bi
2 2 2
Cartesian
-3.428 -5.787 3.184
-5.472 -5.801 1.509
-2.201 -0.349 1.576
-3.413 -3.556 1.012
-4.264 -1.781 3.675
-4.916 0.572 -0.177


Arrangement 3

InGaBi, optimized geometry, DFT GGA-PBE; crystal system = monoclinic
1.0
-3.316 0.131 -0.674
-2.111 -2.280 1.347
-3.557 3.970 6.856
Bi In Ga
1 1 1
Cartesian
-1.116 0.330 1.060
-3.871 2.509 5.302
-5.284 0.367 3.590


Stability ranking, top and bottom: arrangement 2 is the most stable and arrangement 3 is the least stable.


Arrangement 1

InGaBi, optimized geometry, DFT GGA-PBE; crystal system = tetragonal
1.0
3.403 0.000 0.000
0.000 3.403 0.000
-1.701 -1.701 6.945
In Bi Ga
1 1 1
Cartesian
1.701 1.701 6.768
1.701 1.701 2.443
0.000 0.000 4.680


Arrangement 2

InGaBi, optimized geometry, DFT GGA-PBE; crystal system = triclinic
1.0
-0.961 -1.333 4.424
4.280 -1.654 3.268
1.544 6.559 2.041
Bi In Ga
2 2 2
Cartesian
5.120 4.077 5.088
2.254 0.035 5.672
0.732 -0.361 2.754
2.691 2.969 6.713
1.374 2.738 3.703
4.603 1.145 4.102


Arrangement 3

InGaBi, optimized geometry, DFT GGA-PBE; crystal system = monoclinic
1.0
-2.656 3.585 1.294
-3.768 -3.077 0.792
3.525 -2.755 6.069
Bi In Ga
2 2 2
Cartesian
1.305 -2.346 4.762
-4.204 0.100 3.393
-0.865 -0.192 2.807
-2.034 -2.054 5.348
0.040 -4.189 6.918
-2.938 1.943 1.237


Arrangement 4

InGaBi, optimized geometry, DFT GGA-PBE; crystal system = triclinic
1.0
-1.283 0.891 -4.435
-1.351 -4.674 -2.744
-6.555 0.548 1.498
Ga In Bi
2 2 2
Cartesian
-3.823 -1.177 -2.152
-4.630 0.102 0.494
-2.692 -2.324 -4.906
-6.933 -0.566 -1.405
-1.627 0.010 -0.035
-6.190 -2.235 -4.241


Stability ranking, top and bottom: arrangement 3 is the most stable and arrangement 4 is the least stable.


Arrangement 1

InGa2Bi2, optimized geometry, DFT GGA-PBE; crystal system = tetragonal
1.0
-2.164 8.733 0.049
-8.664 -2.141 -1.135
-0.415 -0.122 3.399
Bi Ga In
4 4 2
Cartesian
-2.797 5.410 -0.147
-7.526 5.940 -0.706
-8.032 1.181 -0.938
-3.303 0.652 -0.380
-9.059 3.662 0.752
-6.032 -0.223 0.982
-5.212 6.693 1.331
-2.185 2.807 1.561
-5.414 3.296 -0.543
0.000 0.000 0.000


Arrangement 2

InGa2Bi2, optimized geometry, DFT GGA-PBE; crystal system = tetragonal
1.0
8.762 0.000 0.000
0.000 8.762 0.000
0.000 0.000 3.552
Ga Bi In
4 4 2
Cartesian
1.111 3.269 0.000
3.269 7.650 0.000
7.650 5.492 0.000
5.492 1.111 0.000
7.288 2.907 1.776
1.474 5.855 1.776
5.855 7.288 1.776
2.907 1.474 1.776
0.000 0.000 0.000
4.381 4.381 0.000


Stability ranking, top and bottom: arrangement 2 is the most stable and arrangement 1 is the least stable.